Record 1
Below is an optimized crystal structure of La2CeYSe4, with properties calculated at the GGA-PBE level.

* crystal system: monoclinic
* total magnetic moment: 0.12 μB per atom
* total DFT energy (no corrections): -6.4218 eV per atom
* raw formation energy: -15.2 eV/f.u.

Structure (POSCAR):
```
La2CeYSe4
1.0
7.3306 0.0000 0.0000
0.0000 4.2074 0.0000
-2.4173 0.0000 6.9451
La Ce Y Se
2 1 1 4
direct
0.0000 0.0000 0.0000 La
0.5000 0.5000 0.0000 La
0.0000 0.5000 0.5000 Ce
0.5000 0.0000 0.5000 Y
0.2513 0.0000 0.7390 Se
0.2597 0.5000 0.2645 Se
0.7403 0.5000 0.7355 Se
0.7487 0.0000 0.2610 Se
```

Record 2
Below is an optimized crystal structure of Nd3Tl2Hg, with properties calculated at the GGA-PBE level.

* crystal system: tetragonal
* energy of formation from the pure elements: -0.42 eV/atom
* total magnetic moment: 0.08 μB per atom
* total DFT energy (no corrections): -3.6391 eV per atom

Structure (POSCAR):
```
Nd3Tl2Hg
1.0
3.8226 0.0000 0.0000
0.0000 3.8226 0.0000
0.0000 0.0000 12.0633
Nd Tl Hg
3 2 1
direct
0.0000 0.0000 0.0000 Nd
0.0000 0.0000 0.3409 Nd
0.0000 0.0000 0.6591 Nd
0.5000 0.5000 0.1721 Tl
0.5000 0.5000 0.8279 Tl
0.5000 0.5000 0.5000 Hg
```

Record 3
Below is an optimized crystal structure of Al4CuAg, with properties calculated at the GGA-PBE level.

* crystal system: orthorhombic
* energy of formation from the pure elements: 0.27 eV/atom
* total magnetic moment: 0.00 μB per atom
* total DFT energy (no corrections): -3.3813 eV per atom

Structure (POSCAR):
```
Al4CuAg
1.0
3.9410 -4.0461 0.0000
3.9410 4.0461 0.0000
0.0000 0.0000 3.8710
Al Cu Ag
4 1 1
direct
0.2108 0.7892 0.0000 Al
0.3200 0.3200 0.5000 Al
0.6800 0.6800 0.5000 Al
0.7892 0.2108 0.0000 Al
0.5000 0.5000 0.0000 Cu
0.0000 0.0000 0.5000 Ag
```

Record 4
Below is an optimized crystal structure of Zr2BeOs, with properties calculated at the GGA-PBE level.

* crystal system: orthorhombic
* energy of formation from the pure elements: -0.14 eV/atom
* total magnetic moment: 0.00 μB per atom
* total DFT energy (no corrections): -8.1532 eV per atom

Structure (POSCAR):
```
Zr2BeOs
1.0
-1.6153 2.2727 4.7900
1.6153 -2.2727 4.7900
1.6153 2.2727 -4.7900
Zr Be Os
2 1 1
direct
0.0000 0.0000 0.0000 Zr
0.7283 0.2283 0.5000 Zr
0.3026 0.8026 0.5000 Be
0.4884 0.4884 0.0000 Os
```

Record 5
Below is an optimized crystal structure of Ca2YCd, with properties calculated at the GGA-PBE level.

* crystal system: tetragonal
* energy of formation from the pure elements: -0.06 eV/atom
* total magnetic moment: 0.00 μB per atom
* total DFT energy (no corrections): -2.9045 eV per atom

Structure (POSCAR):
```
Ca2YCd
1.0
4.8896 0.0000 0.0000
0.0000 4.8896 0.0000
0.0000 0.0000 5.3024
Ca Y Cd
2 1 1
direct
0.0000 0.5000 0.0000 Ca
0.5000 0.0000 0.0000 Ca
0.0000 0.0000 0.5000 Y
0.5000 0.5000 0.5000 Cd
```

Record 6
Below is an optimized crystal structure of YbYAl6B8O24, with properties calculated at the GGA-PBE level.

* crystal system: trigonal
* total magnetic moment: 0.03 μB per atom
* total DFT energy (no corrections): -7.8462 eV per atom
* raw formation energy: -111.0 eV/f.u.

Structure (POSCAR):
```
YbYAl6B8O24
1.0
4.6804 2.7022 4.8865
-4.6804 2.7022 4.8865
0.0000 -5.4045 4.8865
Yb Y Al B O
1 1 6 8 24
direct
0.0000 0.0000 0.0000 Yb
0.5000 0.5000 0.5000 Y
0.0000 0.5559 0.4441 Al
0.0553 0.9447 0.5000 Al
0.4441 0.0000 0.5559 Al
0.5000 0.0553 0.9447 Al
0.5559 0.4441 0.0000 Al
0.9447 0.5000 0.0553 Al
0.1928 0.3069 0.7502 B
0.2499 0.2499 0.2499 B
0.2498 0.6931 0.8072 B
0.3069 0.7502 0.1928 B
0.6931 0.8072 0.2498 B
0.7502 0.1928 0.3069 B
0.7501 0.7501 0.7501 B
0.8072 0.2498 0.6931 B
0.0614 0.3131 0.9094 O
0.0906 0.6869 0.9386 O
0.1013 0.3982 0.2504 O
0.1589 0.7498 0.3420 O
0.1893 0.4382 0.5891 O
0.2504 0.1013 0.3982 O
0.2502 0.8411 0.6580 O
0.3131 0.9094 0.0614 O
0.3420 0.1589 0.7498 O
0.3982 0.2504 0.1013 O
0.4109 0.5618 0.8107 O
0.4383 0.5891 0.1893 O
0.5618 0.8107 0.4109 O
0.5891 0.1893 0.4383 O
0.6018 0.8987 0.7496 O
0.6580 0.2502 0.8411 O
0.6869 0.9386 0.0906 O
0.7498 0.3420 0.1589 O
0.7496 0.6018 0.8987 O
0.8107 0.4109 0.5617 O
0.8411 0.6580 0.2502 O
0.8987 0.7496 0.6018 O
0.9094 0.0614 0.3131 O
0.9386 0.0906 0.6869 O
```

Record 7
Below is an optimized crystal structure of Ti2Be4Cr, with properties calculated at the GGA-PBE level.

* crystal system: tetragonal
* energy of formation from the pure elements: 0.57 eV/atom
* total magnetic moment: 0.00 μB per atom
* total DFT energy (no corrections): -5.1909 eV per atom

Structure (POSCAR):
```
Ti2Be4Cr
1.0
-1.9405 1.9405 6.2258
1.9405 -1.9405 6.2258
1.9405 1.9405 -6.2258
Ti Be Cr
2 4 1
direct
0.1233 0.1233 0.0000 Ti
0.8767 0.8767 0.0000 Ti
0.0000 0.5000 0.5000 Be
0.3293 0.3293 0.0000 Be
0.5000 0.0000 0.5000 Be
0.6707 0.6707 0.0000 Be
0.5000 0.5000 0.0000 Cr
```

Record 8
Below is an optimized crystal structure of BeAu2Se, with properties calculated at the GGA-PBE level.

* crystal system: tetragonal
* total magnetic moment: 0.00 μB per atom
* total DFT energy (no corrections): -3.2464 eV per atom
* raw formation energy: 0.8 eV/f.u.

Structure (POSCAR):
```
BeAu2Se
1.0
-2.2275 2.2275 7.7934
2.2275 -2.2275 7.7934
2.2275 2.2275 -7.7934
Be Au Se
2 4 2
direct
0.0000 0.0000 0.0000 Be
0.7500 0.2500 0.5000 Be
0.0729 0.6250 0.9479 Au
0.3750 0.3229 0.4479 Au
0.6771 0.1250 0.0521 Au
0.8750 0.9271 0.5521 Au
0.2500 0.7500 0.5000 Se
0.5000 0.5000 0.0000 Se
```

Record 9
Below is an optimized crystal structure of HoScAl2Au4, with properties calculated at the GGA-PBE level.

* crystal system: trigonal
* energy of formation from the pure elements: -0.71 eV/atom
* total magnetic moment: 0.00 μB per atom
* total DFT energy (no corrections): -4.6452 eV per atom

Structure (POSCAR):
```
HoScAl2Au4
1.0
2.3213 1.3402 8.1164
-2.3213 1.3402 8.1164
0.0000 -2.6804 8.1164
Ho Sc Al Au
1 1 2 4
direct
0.0000 0.0000 0.0000 Ho
0.5000 0.5000 0.5000 Sc
0.2455 0.2455 0.2455 Al
0.7545 0.7545 0.7545 Al
0.1256 0.1256 0.1256 Au
0.3857 0.3857 0.3857 Au
0.6143 0.6143 0.6143 Au
0.8744 0.8744 0.8744 Au
```

Record 10
Below is an optimized crystal structure of CoMo2Pt, with properties calculated at the GGA-PBE level.

* crystal system: cubic
* energy of formation from the pure elements: 0.10 eV/atom
* total magnetic moment: 0.12 μB per atom
* total DFT energy (no corrections): -8.5977 eV per atom

Structure (POSCAR):
```
CoMo2Pt
1.0
0.0000 3.0776 3.0776
3.0776 0.0000 3.0776
3.0776 3.0776 0.0000
Co Mo Pt
1 2 1
direct
0.0000 0.0000 0.0000 Co
0.5000 0.5000 0.5000 Mo
0.7500 0.7500 0.7500 Mo
0.2500 0.2500 0.2500 Pt
```

Record 11
Below is an optimized crystal structure of Ho2GaPbO6, with properties calculated at the GGA-PBE level.

* crystal system: tetragonal
* total magnetic moment: 0.00 μB per atom
* total DFT energy (no corrections): -6.7812 eV per atom
* raw formation energy: -22.2 eV/f.u.

Structure (POSCAR):
```
Ho2GaPbO6
1.0
5.2938 0.0000 0.0000
0.0000 5.2938 0.0000
0.0000 0.0000 5.3660
Ho Ga Pb O
2 1 1 6
direct
0.0000 0.5000 0.0000 Ho
0.5000 0.0000 0.0000 Ho
0.0000 0.0000 0.6108 Ga
0.5000 0.5000 0.5624 Pb
0.0000 0.0000 0.2639 O
0.2374 0.2374 0.7712 O
0.2374 0.7626 0.7712 O
0.5000 0.5000 0.1495 O
0.7626 0.2374 0.7712 O
0.7626 0.7626 0.7712 O
```

Record 12
Below is an optimized crystal structure of BaNbH, with properties calculated at the GGA-PBE level.

* crystal system: monoclinic
* total magnetic moment: 0.00 μB per atom
* total DFT energy (no corrections): -4.9652 eV per atom

Structure (POSCAR):
```
BaNbH
1.0
3.6004 0.0000 0.0000
0.0000 4.0270 0.0000
-1.7911 0.0000 10.1320
Ba Nb H
2 2 2
direct
0.0962 0.2500 0.1905 Ba
0.9038 0.7500 0.8095 Ba
0.2696 0.2500 0.5395 Nb
0.7304 0.7500 0.4605 Nb
0.2820 0.7500 0.5646 H
0.7180 0.2500 0.4354 H
```

Number 1: V 26.8 Å³ per atom. Number 2: V 29.4 Å³ per atom. Number 3: V 20.6 Å³ per atom. Number 4: V 17.6 Å³ per atom. Number 5: V 31.7 Å³ per atom. Number 6: V 9.3 Å³ per atom. Number 7: V 13.4 Å³ per atom. Number 8: V 19.3 Å³ per atom. Number 9: V 18.9 Å³ per atom. Number 10: V 14.6 Å³ per atom. Number 11: V 15.0 Å³ per atom. Number 12: V 24.5 Å³ per atom.